The following is a DFT calculation (GGA-PBE) of crystalline TaBiW3 at its relaxed geometry.

Structure (extended XYZ):
```
5
Lattice="-2.8648 3.5153 1.8883 -2.0363 0.7112 -4.4134 -3.4317 -3.3566 1.0425" Properties=species:S:1:pos:R:3 pbc="T T T"
Bi 0.0000 0.0000 0.0000
W -1.0182 0.3556 -2.2067
W -1.7159 -1.6783 0.5212
W -1.4324 1.7577 0.9442
Ta -4.1664 0.4350 -0.7413
```

The value obtained for the excess energy over the best structure of this formula in the dataset is 980 meV per atom. The formation energy comes out at 3.112 eV per atom. The calculation puts the final energy at -7.807 eV/atom.



The following is a DFT calculation (GGA-PBE) of crystalline CdIn2Ag at its relaxed geometry.

Structure (extended XYZ):
```
4
Lattice="-1.1576 -2.7648 -1.4438 1.5225 -1.2356 -2.6878 5.9074 -6.7732 4.4009" Properties=species:S:1:pos:R:3 pbc="T T T"
Cd 3.1322 -5.3831 0.1307
In 4.5449 -5.4922 3.0402
In 1.4863 -2.6166 -0.0143
Ag 0.2450 -2.6686 -2.7527
```

The formation energy comes out at 0.034 eV per atom. The calculation puts the final energy at -2.277 eV/atom.



The following is a DFT calculation (GGA-PBE) of crystalline ReSiNF2 at its relaxed geometry.

Structure (extended XYZ):
```
5
Lattice="-0.2792 -2.5909 -3.5853 3.9274 1.5077 -1.3954 1.4810 -2.3757 1.6014" Properties=species:S:1:pos:R:3 pbc="T T T"
Re 2.5646 -1.7294 -1.6896
Si 0.0000 0.0000 0.0000
N 0.7405 -1.1878 0.8007
F 1.9637 0.7539 -0.6977
F -0.1396 -1.2954 -1.7927
```

The value obtained for the excess energy over the best structure of this formula in the dataset is 258 meV per atom. Its uncorrected formation energy is 0.146 eV/atom. The calculation puts the final energy at -5.842 eV/atom.



The following is a DFT calculation (GGA-PBE) of crystalline Cd8Ga2Ag at its relaxed geometry.

Structure (extended XYZ):
```
11
Lattice="-4.6215 -1.6121 0.0665 -0.6157 -4.1276 6.3482 -2.2287 3.5870 6.6620" Properties=species:S:1:pos:R:3 pbc="T T T"
Cd -4.5339 -0.9854 2.1265
Cd -5.9138 0.1047 7.2473
Cd -1.6168 -2.0690 2.4616
Cd -3.7535 -2.5007 7.8831
Cd -3.7125 0.3481 5.1936
Cd -3.6204 -3.6707 3.9531
Cd -1.5521 -2.2573 5.8294
Cd -2.9320 -1.1672 10.9501
Ga -1.0613 0.1527 4.5422
Ga -1.7831 -0.6932 8.4680
Ag -2.3108 -0.8060 0.0333
```

The value obtained for the excess energy over the best structure of this formula in the dataset is 30 meV per atom. The formation energy comes out at 0.060 eV per atom. The calculation puts the final energy at -1.415 eV/atom.



no.,Fermi-level density of states (states/eV/f.u.)
1,8.40
2,1.01
3,1.30
4,2.85